Record 1
RePCCl2: single point on PBEsol structure, SCAN. Values from VASP.

The structure in Quantum ESPRESSO input format:
```
&SYSTEM
  ibrav = 0, nat = 5, ntyp = 4
/
ATOMIC_SPECIES
Re 186.21 Re.upf
P 30.97 P.upf
C 12.01 C.upf
Cl 35.45 Cl.upf
ATOMIC_POSITIONS crystal
Re 0.000 0.000 0.000
P 0.500 0.500 0.000
C 0.500 0.500 0.500
Cl 0.000 0.500 0.500
Cl 0.500 0.000 0.500
CELL_PARAMETERS angstrom
3.994 0.000 0.000
0.000 3.994 0.000
0.000 0.000 4.085
```

Results
E: -19.43 eV per atom
calculated density: 7.6 Mg/m³

Record 2
TcGeB2: single point on PBEsol structure, SCAN. Values from VASP.

The structure in Quantum ESPRESSO input format:
```
&SYSTEM
  ibrav = 0, nat = 8, ntyp = 3
/
ATOMIC_SPECIES
Tc 98.00 Tc.upf
Ge 72.64 Ge.upf
B 10.81 B.upf
ATOMIC_POSITIONS crystal
Tc 0.000 0.000 0.000
Tc 0.750 0.250 0.500
Ge 0.250 0.750 0.500
Ge 0.500 0.500 0.000
B 0.111 0.625 0.986
B 0.375 0.361 0.486
B 0.639 0.125 0.014
B 0.875 0.889 0.514
CELL_PARAMETERS angstrom
-2.452 2.452 4.485
2.452 -2.452 4.485
2.452 2.452 -4.485
```

Results
E: -16.54 eV per atom
calculated density: 5.9 Mg/m³
ΔH_f (0 K): 712.4 meV per atom